A plane-wave DFT calculation with PBE was carried out for an optimized crystal structure of ZrZnP3.

Properties
Total magnetic moment, μB/f.u.: 0.000
ΔE to the lowest computed polymorph, eV/f.u.: 0.262
Energy of formation from the pure elements, kJ/mol of atoms: 53
SG: Pm-3m (221)

Unit cell a=4.5604 b=4.5604 c=4.5604 alpha=90.00 beta=90.00 gamma=90.00
Closest atoms and distances in Å follow each position.
Fractional coordinates of all 5 atoms:
Zr 0.0000 0.0000 0.0000  12 P 3.22
Zn 0.5000 0.5000 0.5000  6 P 2.28
P 0.0000 0.5000 0.5000  2 Zn 2.28
P 0.5000 0.0000 0.5000  2 Zn 2.28
P 0.5000 0.5000 0.0000  2 Zn 2.28